Compound: MgTlBr3
Source: the Alexandria database
Functional: GGA-PBE
Structure: relaxed

For the energy relative to the elements, uncorrected, the calculation gives -1.17 eV per atom. The density of states at the Fermi level is 0.0 states/eV/f.u. For the volume, the calculation gives 30.4 Å³/atom.

It has space group Pm-3m (No. 221), with a = 5.339 Å, b = 5.339 Å, c = 5.339 Å, α = 90.00°, β = 90.00° and γ = 90.00°. The inequivalent atoms are Mg at (0.000, 0.000, 0.000), Tl at (0.500, 0.500, 0.500) and Br at (0.000, 0.000, 0.500).